1.
Entry from Alexandria: crystalline K3PaBr7 at its relaxed geometry (PBE).

abc: 7.803 7.803 8.615
angles: 115.14 115.14 86.29
Positions (direct):
K: 0.000 0.000 0.000
K: 0.274 0.729 0.579
K: 0.729 0.274 0.579
Pa: 0.552 0.552 0.134
Br: 0.186 0.522 0.827
Br: 0.368 0.368 0.256
Br: 0.371 0.875 0.298
Br: 0.522 0.186 0.827
Br: 0.696 0.696 0.952
Br: 0.857 0.857 0.514
Br: 0.875 0.371 0.298

Computed properties:
The space group is No. 8. The total magnetization comes out at 1.0 μB/cell. The raw total energy comes out at -42.20 eV per cell. The density of states at the Fermi level comes out at 0.8 states/eV/cell.

=====

2.
Entry from Alexandria: crystalline PmTh3N4 at its relaxed geometry (PBE).

abc: 5.159 5.159 5.159
angles: 90.00 90.00 90.00
Positions (direct):
Pm: 0.000 0.000 0.000
Th: 0.000 0.500 0.500
Th: 0.500 0.000 0.500
Th: 0.500 0.500 0.000
N: 0.000 0.000 0.500
N: 0.000 0.500 0.000
N: 0.500 0.000 0.000
N: 0.500 0.500 0.500

Computed properties:
The space group is No. 221. The total magnetization comes out at 0.0 μB/cell. The raw total energy comes out at -72.74 eV per cell. The density of states at the Fermi level comes out at 2.9 states/eV/cell.

=====

3.
Entry from Alexandria: crystalline Fe2AsBr at its relaxed geometry (PBE).

abc: 6.348 6.348 3.057
angles: 90.00 90.37 90.00
Positions (direct):
Fe: 0.250 0.250 0.000
Fe: 0.250 0.750 0.000
Fe: 0.750 0.250 0.000
Fe: 0.750 0.750 0.000
As: 0.000 0.000 0.500
As: 0.500 0.500 0.500
Br: 0.000 0.500 0.500
Br: 0.500 0.000 0.500

Computed properties:
The space group is No. 12. The total magnetization comes out at 10.1 μB/cell. The value obtained for the offset from the most stable computed form is 0.5134 eV/atom. The raw total energy comes out at -42.19 eV per cell. The density of states at the Fermi level comes out at 12.5 states/eV/cell.

=====

4.
Entry from Alexandria: crystalline MnCo2Cu at its relaxed geometry (PBE).

abc: 2.826 4.063 8.175
angles: 90.00 90.00 90.00
Positions (direct):
Mn: 0.000 0.000 0.000
Mn: 0.500 0.500 0.000
Co: 0.000 0.000 0.514
Co: 0.000 0.500 0.754
Co: 0.500 0.000 0.754
Co: 0.500 0.500 0.514
Cu: 0.000 0.500 0.259
Cu: 0.500 0.000 0.259

Computed properties:
The energy of formation is 0.1809 eV/atom. The space group is No. 35. The total magnetization comes out at 12.7 μB/cell. The raw total energy comes out at -53.51 eV per cell. The density of states at the Fermi level comes out at 8.8 states/eV/cell.

=====

5.
Entry from Alexandria: crystalline Tb7Dy3Er at its relaxed geometry (PBE).

abc: 6.951 5.518 9.874
angles: 90.00 110.47 90.00
Positions (direct):
Tb: 0.000 0.000 0.000
Tb: 0.146 0.500 0.291
Tb: 0.321 0.500 0.640
Tb: 0.416 0.000 0.830
Tb: 0.584 0.000 0.170
Tb: 0.679 0.500 0.360
Tb: 0.854 0.500 0.709
Dy: 0.000 0.000 0.500
Dy: 0.280 0.500 0.999
Dy: 0.720 0.500 0.001
Er: 0.500 0.000 0.500

Computed properties:
The energy of formation is 0.1393 eV/atom. The space group is No. 10. The total magnetization comes out at 0.0 μB/cell. The value obtained for the offset from the most stable computed form is 0.0000 eV/atom. The raw total energy comes out at -49.25 eV per cell. The density of states at the Fermi level comes out at 16.5 states/eV/cell.

=====

6.
Entry from Alexandria: crystalline RbCuRuBr6 at its relaxed geometry (PBE).

abc: 6.711 6.711 7.810
angles: 90.00 90.00 120.00
Positions (direct):
Rb: 0.000 0.000 0.000
Cu: 0.667 0.333 0.500
Ru: 0.333 0.667 0.500
Br: 0.012 0.372 0.682
Br: 0.012 0.641 0.318
Br: 0.359 0.372 0.318
Br: 0.359 0.988 0.682
Br: 0.628 0.641 0.682
Br: 0.628 0.988 0.318

Computed properties:
The space group is No. 149. The total magnetization comes out at 2.1 μB/cell. The raw total energy comes out at -29.61 eV per cell. The density of states at the Fermi level comes out at 5.9 states/eV/cell.